Model P:
# Li2AuF (GGA-PBE, relaxed)
# - N(E_F) (states/eV/cell) = 0.644
# - total magnetization (Bohr magnetons per cell) = 0.000
data_Li2AuF
_space_group_name_H-M_alt 'R -3 m'
_space_group_IT_number 166
_space_group_name_Hall '-R 3 2"'
_cell_length_a 2.8859
_cell_length_b 2.8859
_cell_length_c 20.8442
_cell_angle_alpha 90.00
_cell_angle_beta 90.00
_cell_angle_gamma 120.00
loop_
_atom_site_label
_atom_site_fract_x
_atom_site_fract_y
_atom_site_fract_z
Li1 0.0000 0.0000 0.2234
Au1 0.0000 0.0000 0.0000
F1 0.0000 0.0000 0.5000



Model Q:
# Li2AuF (GGA-PBE, relaxed)
# - N(E_F) (states/eV/cell) = 0.000
# - total magnetization (Bohr magnetons per cell) = 0.000
data_Li2AuF
_space_group_name_H-M_alt 'F m -3 m'
_space_group_IT_number 225
_space_group_name_Hall '-F 4 2 3'
_cell_length_a 6.203
_cell_length_b 6.203
_cell_length_c 6.203
_cell_angle_alpha 90.00
_cell_angle_beta 90.00
_cell_angle_gamma 90.00
loop_
_atom_site_label
_atom_site_fract_x
_atom_site_fract_y
_atom_site_fract_z
Li1 0.250 0.250 0.250
Au1 0.000 0.000 0.000
F1 0.000 0.000 0.500



Model R:
# Li2AuF (GGA-PBE, relaxed)
# - N(E_F) (states/eV/cell) = 0.387
# - total magnetization (Bohr magnetons per cell) = 0.000
data_Li2AuF
_space_group_name_H-M_alt 'I -4 2 d'
_space_group_IT_number 122
_space_group_name_Hall 'I -4 2bw'
_cell_length_a 5.743
_cell_length_b 5.743
_cell_length_c 7.355
_cell_angle_alpha 90.00
_cell_angle_beta 90.00
_cell_angle_gamma 90.00
loop_
_atom_site_label
_atom_site_fract_x
_atom_site_fract_y
_atom_site_fract_z
Li1 0.133 0.750 0.125
Au1 0.000 0.000 0.500
F1 0.000 0.000 0.000



Least stable = model Q



Model P:
# LiAuNF2 (GGA-PBE, relaxed)
# - N(E_F) (states/eV/cell) = 3.961
# - total magnetization (Bohr magnetons per cell) = 1.951
data_LiAuNF2
_space_group_name_H-M_alt 'P 4/m m m'
_space_group_IT_number 123
_space_group_name_Hall '-P 4 2'
_cell_length_a 3.405
_cell_length_b 3.405
_cell_length_c 5.049
_cell_angle_alpha 90.00
_cell_angle_beta 90.00
_cell_angle_gamma 90.00
loop_
_atom_site_label
_atom_site_fract_x
_atom_site_fract_y
_atom_site_fract_z
Li1 0.000 0.000 0.000
Au1 0.500 0.500 0.500
N1 0.000 0.000 0.500
F1 0.000 0.500 0.000



Model Q:
# LiAuNF2 (GGA-PBE, relaxed)
# - N(E_F) (states/eV/cell) = 1.708
# - total magnetization (Bohr magnetons per cell) = 0.389
data_LiAuNF2
_space_group_name_H-M_alt 'P 4/m m m'
_space_group_IT_number 123
_space_group_name_Hall '-P 4 2'
_cell_length_a 4.696
_cell_length_b 4.696
_cell_length_c 3.746
_cell_angle_alpha 90.00
_cell_angle_beta 90.00
_cell_angle_gamma 90.00
loop_
_atom_site_label
_atom_site_fract_x
_atom_site_fract_y
_atom_site_fract_z
Li1 0.000 0.000 0.000
Au1 0.500 0.500 0.500
N1 0.500 0.500 0.000
F1 0.000 0.500 0.500



Least stable = model P



Model P:
# MgAu2F8 (GGA-PBE, relaxed)
# - total magnetization (Bohr magnetons per cell) = 0.000
data_MgAu2F8
_space_group_name_H-M_alt 'P -1'
_space_group_IT_number 2
_cell_length_a 5.508
_cell_length_b 5.632
_cell_length_c 5.643
_cell_angle_alpha 71.27
_cell_angle_beta 83.40
_cell_angle_gamma 84.02
loop_
_space_group_symop_operation_xyz
'x,y,z'
'-x,-y,-z'
loop_
_atom_site_label
_atom_site_fract_x
_atom_site_fract_y
_atom_site_fract_z
Mg1 0.000 0.000 0.000
Au1 0.243 0.365 0.361
F1 0.225 0.671 0.066
F2 0.228 0.073 0.671
F3 0.235 0.146 0.148
F4 0.260 0.579 0.569



Model Q:
# MgAu2F8 (GGA-PBE, relaxed)
# - N(E_F) (states/eV/cell) = 0.000
# - total magnetization (Bohr magnetons per cell) = 0.000
data_MgAu2F8
_space_group_name_H-M_alt 'P 1 21/c 1'
_space_group_IT_number 14
_cell_length_a 5.603
_cell_length_b 5.744
_cell_length_c 11.073
_cell_angle_alpha 90.00
_cell_angle_beta 109.40
_cell_angle_gamma 90.00
loop_
_space_group_symop_operation_xyz
'x,y,z'
'-x,-y,-z'
'-x,y+1/2,-z+1/2'
'x,-y+1/2,z+1/2'
loop_
_atom_site_label
_atom_site_fract_x
_atom_site_fract_y
_atom_site_fract_z
Mg1 0.000 0.000 0.000
Au1 0.369 0.228 0.326
F1 0.072 0.134 0.179
F2 0.160 0.228 0.441
F3 0.327 0.682 0.530
F4 0.428 0.724 0.286



Least stable = model P